P | YZnN2F PBE relaxed; DOS(E_F) = 0.601 states/eV/atom; theoretical density = 3.79 g cm⁻³; M_tot = 2.19 Bohr magnetons per cell
1.0
4.550 0.000 0.000
0.000 4.550 0.000
0.000 0.000 4.261
Y Zn N F
1 1 2 1
Cartesian
0.000 0.000 0.000 Y
2.275 2.275 2.131 Zn
0.000 2.275 0.000 N
2.275 0.000 0.000 N
0.000 0.000 2.131 F

Q | YZnN2F PBE relaxed; DOS(E_F) = 0.336 states/eV/atom; theoretical density = 5.55 g cm⁻³; M_tot = 0.00 Bohr magnetons per cell
1.0
3.869 0.000 0.000
0.000 3.869 0.000
0.000 0.000 4.026
Y Zn N F
1 1 2 1
Cartesian
0.000 0.000 0.000 Y
1.935 1.935 2.013 Zn
0.000 1.935 2.013 N
1.935 0.000 2.013 N
1.935 1.935 0.000 F

Most favorable first, least favorable last: Q, P

P | YZnNF2 PBE relaxed; DOS(E_F) = 0.286 states/eV/atom; theoretical density = 3.92 g cm⁻³; M_tot = 0.32 Bohr magnetons per cell
1.0
4.293 0.000 0.000
0.000 4.293 0.000
0.000 0.000 4.738
Y Zn N F
1 1 1 2
Cartesian
0.000 0.000 0.000 Y
2.147 2.147 2.369 Zn
0.000 0.000 2.369 N
0.000 2.147 0.000 F
2.147 0.000 0.000 F

Q | YZnNF2 PBE relaxed; DOS(E_F) = 0.013 states/eV/atom; theoretical density = 5.30 g cm⁻³; M_tot = 0.00 Bohr magnetons per cell
1.0
3.872 0.000 0.000
0.000 3.872 0.000
0.000 0.000 4.308
Y Zn N F
1 1 1 2
Cartesian
0.000 0.000 0.000 Y
1.936 1.936 2.154 Zn
1.936 1.936 0.000 N
0.000 1.936 2.154 F
1.936 0.000 2.154 F

Most favorable first, least favorable last: Q, P